No. 1
Below is an optimized crystal structure of MoCO2, with properties calculated at the PBE with a Hubbard U level.

The total energy is -5.47 eV per atom. The calculated volume comes out at 9.825 A^3/atom. Its calculated density is 5.913 g/cm3.

The space group is R-3m (No. 166, hexagonal axes) and the conventional cell measures 2.7442, 2.7442 and 18.0780 Å, with angles of 90.00, 90.00 and 120.00 degrees. The asymmetric unit holds Mo at (0.0000, 0.0000, 0.0000), C at (0.0000, 0.0000, 0.5000) and O at (0.0000, 0.0000, 0.1105).


No. 2
Below is an optimized crystal structure of MoCO2, with properties calculated at the PBE with a Hubbard U level.

The total energy is -5.99 eV per atom. The calculated volume comes out at 9.667 A^3/atom. Its calculated density is 6.010 g/cm3.

The space group is R-3m (No. 166, hexagonal axes) and the conventional cell measures 2.7814, 2.7814 and 17.3143 Å, with angles of 90.00, 90.00 and 120.00 degrees. The asymmetric unit holds Mo at (0.0000, 0.0000, 0.0000), C at (0.0000, 0.0000, 0.5000) and O at (0.0000, 0.0000, 0.4244).


No. 3
Below is an optimized crystal structure of MoC2O, with properties calculated at the PBE with a Hubbard U level.

The total energy is -5.82 eV per atom. The calculated volume comes out at 11.589 A^3/atom. Its calculated density is 4.870 g/cm3.

The space group is I-42d (No. 122) and the conventional cell measures 4.547, 4.547 and 8.969 Å, with angles of 90.00, 90.00 and 90.00 degrees. The asymmetric unit holds Mo at (0.000, 0.000, 0.000), C at (0.221, 0.250, 0.625) and O at (0.000, 0.000, 0.500).


total energy of number 3 (MoC2O)?
-5.82 eV per atom